## LiCe3 (PBE-GGA)

Data for crystalline LiCe3 at its relaxed geometry.

Unit cell a=4.687 b=4.687 c=4.687 alpha=90.00 beta=90.00 gamma=90.00
Space group Pm-3m (No. 221)
One atom of each set of equivalent atoms:
Li  0.000  0.000  0.000 [1 per cell]
Ce  0.000  0.500  0.500 [3 per cell]

Calculated values
distance to the lowest polymorph of the same formula: 121 meV/atom
energy relative to the elements: 275.6 meV per atom